(one)
This record from the Alexandria database describes a geometry-optimized PAuBr structure. The functional is GGA-PBE.

Cell lengths 4.631, 4.631, 4.631 Å; angles 60.00, 60.00, 60.00 degrees
Sites, in units of the cell vectors:
P1 0.000 0.000 0.000
Au1 0.250 0.250 0.250
Br1 0.500 0.500 0.500

Summary:
The magnetic moment is 0.390 μB/atom. For the density of states at the Fermi level, the calculation gives 1.049 states/eV/atom.

(two)
This record from the Alexandria database describes a geometry-optimized PAuBr structure. The functional is GGA-PBE.

Cell lengths 6.351, 6.351, 6.351 Å; angles 146.89, 146.89, 47.52 degrees
Sites, in units of the cell vectors:
P1 0.000 0.000 0.000
Au1 0.478 0.478 0.000
Br1 0.195 0.195 0.000

Summary:
The magnetic moment is 0.000 μB/atom. For the density of states at the Fermi level, the calculation gives 0.354 states/eV/atom.

Which structure above is the least stable one? (one) is the least stable one.